1.
## Y2CoSi2OsC (PBE)

Data for a relaxed structure of Y2CoSi2OsC.

Unit cell a=10.7339 b=3.9585 c=6.8652 alpha=90.00 beta=128.95 gamma=90.00
Space group Cm (No. 8)
Asymmetric unit:
1 Y 0.0000 0.0000 0.0000 [2 per cell]
2 Y 0.1313 0.0000 0.5957 [2 per cell]
3 Co 0.3633 0.0000 0.2058 [2 per cell]
4 Si 0.2242 0.5000 0.9999 [2 per cell]
5 Si 0.4187 0.0000 0.6034 [2 per cell]
6 Os 0.2692 0.5000 0.3923 [2 per cell]
7 C 0.0621 0.5000 0.2989 [2 per cell]

Computed properties:
Its crystal system is monoclinic.

---

2.
## Ta4CoPC2 (PBE)

Data for a relaxed structure of Ta4CoPC2.

Unit cell a=3.1753 b=3.1753 c=12.2632 alpha=90.00 beta=90.00 gamma=120.00
Space group P-6m2 (No. 187)
Asymmetric unit:
1 Ta 0.0000 0.0000 0.1436 [2 per cell]
2 Ta 0.3333 0.6667 0.3457 [2 per cell]
3 Co 0.0000 0.0000 0.5000 [1 per cell]
4 P 0.3333 0.6667 0.0000 [1 per cell]
5 C 0.6667 0.3333 0.2470 [2 per cell]

Computed properties:
Its crystal system is hexagonal.

---

3.
## Ta4CoPC2 (PBE)

Data for a relaxed structure of Ta4CoPC2.

Unit cell a=3.1735 b=3.1735 c=12.2605 alpha=90.00 beta=90.00 gamma=120.00
Space group P-6m2 (No. 187)
Asymmetric unit:
1 Ta 0.0000 0.0000 0.1437 [2 per cell]
2 Ta 0.6667 0.3333 0.3459 [2 per cell]
3 Co 0.0000 0.0000 0.5000 [1 per cell]
4 P 0.6667 0.3333 0.0000 [1 per cell]
5 C 0.3333 0.6667 0.2471 [2 per cell]

Computed properties:
Its crystal system is hexagonal.

---

Respective E_tot values: -112.50, -82.40, -82.40 eV/cell.
Respective density values: 7.25, 12.99, 13.01 g/cm³.